Here is MgTaBOs after structural relaxation from the Open Quantum Materials Database. Energies are from PBE.

Total moment, μB/atom: 0.00
Energy relative to the lowest polymorph listed for this composition, eV per atom: 0.342

Cell lengths 5.9941, 5.9941, 5.9941 Å; angles 90.00, 90.00, 90.00 degrees
With the nearest neighbours (Å) after each atom.
Positions (direct):
Mg 0.0000 0.0000 0.0000  4 Ta 2.60, 4 Os 2.60
Mg 0.0000 0.5000 0.5000  4 Ta 2.60, 4 Os 2.60
Mg 0.5000 0.0000 0.5000  4 Ta 2.60, 4 Os 2.60
Mg 0.5000 0.5000 0.0000  4 Ta 2.60, 4 Os 2.60
Ta 0.2500 0.2500 0.2500  4 Mg 2.60, 4 B 2.60
Ta 0.2500 0.7500 0.7500  4 Mg 2.60, 4 B 2.60
Ta 0.7500 0.2500 0.7500  4 Mg 2.60, 4 B 2.60
Ta 0.7500 0.7500 0.2500  4 Mg 2.60, 4 B 2.60
B 0.0000 0.0000 0.5000  4 Ta 2.60, 4 Os 2.60
B 0.0000 0.5000 0.0000  4 Ta 2.60, 4 Os 2.60
B 0.5000 0.0000 0.0000  4 Ta 2.60, 4 Os 2.60
B 0.5000 0.5000 0.5000  4 Ta 2.60, 4 Os 2.60
Os 0.2500 0.2500 0.7500  4 Mg 2.60, 4 B 2.60
Os 0.2500 0.7500 0.2500  4 Mg 2.60, 4 B 2.60
Os 0.7500 0.2500 0.2500  4 Mg 2.60, 4 B 2.60
Os 0.7500 0.7500 0.7500  4 Mg 2.60, 4 B 2.60